{"formula": "Be3Re", "functional": "PBE", "state": "relaxed", "lattice_angstrom": [[-2.029, 3.552, 2.164], [-4.378, 0.865, -1.213], [3.054, -2.927, 1.869]], "species": ["Be", "Be", "Be", "Re"], "fractional_positions": [[0.000, 0.993, 0.007], [0.908, 0.250, 0.658], [0.514, 0.507, 0.007], [0.411, 0.750, 0.662]], "space_group": "No. 44", "crystal_system": "orthorhombic"}

***

{"formula": "Be2Re3", "functional": "PBE", "state": "relaxed", "lattice_angstrom": [[-0.505, 10.154, 0.090], [-2.066, 9.726, -2.121], [-3.182, 9.649, 0.380]], "species": ["Be", "Re", "Re", "Be", "Re"], "fractional_positions": [[0.398, 0.398, 0.398], [0.000, 0.000, 0.000], [0.202, 0.202, 0.202], [0.602, 0.602, 0.602], [0.798, 0.798, 0.798]], "space_group": "No. 166", "crystal_system": "trigonal", "de_polymorph_ev_per_atom": 0.0068}

***

{"formula": "BeRe", "functional": "PBE", "state": "relaxed", "lattice_angstrom": [[6.138, 0.000, 0.000], [0.000, 6.138, 0.000], [0.000, 0.000, 6.138]], "species": ["Re", "Be", "Be", "Re", "Re", "Be", "Re", "Be", "Re", "Be", "Be", "Re"], "fractional_positions": [[0.000, 0.750, 0.500], [0.500, 0.250, 0.000], [0.000, 0.500, 0.750], [0.000, 0.250, 0.500], [0.500, 0.000, 0.250], [0.500, 0.750, 0.000], [0.750, 0.500, 0.000], [0.750, 0.000, 0.500], [0.250, 0.500, 0.000], [0.000, 0.500, 0.250], [0.250, 0.000, 0.500], [0.500, 0.000, 0.750]], "space_group": "No. 223", "crystal_system": "cubic", "de_polymorph_ev_per_atom": 2.3674}

***

no.,formation enthalpy at 0 K (eV/f.u.)
1,0.042
2,0.840
3,4.374